Record 1
A geometry-optimized Na2PaO3 structure, computed with PBE.

Properties
formation energy from raw total energies: -2.404 eV/atom
calculated volume: 499 Å³/cell
crystal system: trigonal

Cell lengths 5.7924, 5.7924, 17.1635 Å; angles 90.00, 90.00, 120.00 degrees
Space group R-3c (No. 167, hexagonal axes)
Symmetry-distinct sites (fractional):
Na 0.0000 0.0000 0.1776 (multiplicity 12)
Pa 0.0000 0.0000 0.0000 (multiplicity 6)
O 0.0000 0.3713 0.2500 (multiplicity 18)


Record 2
A geometry-optimized TmGa2Rh3 structure, computed with PBE.

Properties
calculated volume: 94 Å³/cell
energy of formation from the pure elements: -0.828 eV per atom
crystal system: trigonal

Cell lengths 4.4312, 4.4312, 5.5122 Å; angles 90.00, 90.00, 120.00 degrees
Space group P-3m1 (No. 164)
Symmetry-distinct sites (fractional):
Tm 0.0000 0.0000 0.0000 (multiplicity 1)
Ga 0.3333 0.6667 0.6757 (multiplicity 2)
Rh 0.0000 0.0000 0.5000 (multiplicity 1)
Rh 0.3333 0.6667 0.2065 (multiplicity 2)


Question: Number 1 is which compound?
Answer: Na2PaO3